[1]
Li3ReNi | PBE-GGA | optimized geometry

CIF file:
```
data_Li3ReNi
_symmetry_space_group_name_H-M 'P m -3 m'
_symmetry_Int_Tables_number 221
_symmetry_space_group_name_Hall '-P 4 2 3'
_cell_length_a 4.0792
_cell_length_b 4.0792
_cell_length_c 4.0792
_cell_angle_alpha 90.00
_cell_angle_beta 90.00
_cell_angle_gamma 90.00
loop_
_atom_site_label
_atom_site_type_symbol
_atom_site_fract_x
_atom_site_fract_y
_atom_site_fract_z
Li1 Li 0.0000 0.0000 0.5000
Re1 Re 0.5000 0.5000 0.5000
Ni1 Ni 0.0000 0.0000 0.0000
```

ΔE_f ... 1210 meV/atom
ΔE to the lowest computed polymorph ... 0.00 eV/f.u.



[2]
LiRe2Ni | PBE-GGA | optimized geometry

CIF file:
```
data_LiRe2Ni
_symmetry_space_group_name_H-M 'C 1 2/m 1'
_symmetry_Int_Tables_number 12
_cell_length_a 9.1600
_cell_length_b 2.6568
_cell_length_c 4.5682
_cell_angle_alpha 90.00
_cell_angle_beta 100.87
_cell_angle_gamma 90.00
loop_
_symmetry_equiv_pos_as_xyz
'x,y,z'
'-x,-y,-z'
'-x,y,-z'
'x,-y,z'
'x+1/2,y+1/2,z'
'-x+1/2,-y+1/2,-z'
'-x+1/2,y+1/2,-z'
'x+1/2,-y+1/2,z'
loop_
_atom_site_label
_atom_site_type_symbol
_atom_site_fract_x
_atom_site_fract_y
_atom_site_fract_z
Li1 Li 0.0000 0.0000 0.0000
Re1 Re 0.2351 0.0000 0.7435
Ni1 Ni 0.0000 0.5000 0.5000
```

ΔE_f ... 180 meV/atom
ΔE to the lowest computed polymorph ... 0.22 eV/f.u.



[3]
LiReNi | PBE-GGA | optimized geometry

CIF file:
```
data_LiReNi
_symmetry_space_group_name_H-M 'F m m 2'
_symmetry_Int_Tables_number 42
_symmetry_space_group_name_Hall 'F 2 -2'
_cell_length_a 2.8730
_cell_length_b 4.3136
_cell_length_c 13.1427
_cell_angle_alpha 90.00
_cell_angle_beta 90.00
_cell_angle_gamma 90.00
loop_
_atom_site_label
_atom_site_type_symbol
_atom_site_fract_x
_atom_site_fract_y
_atom_site_fract_z
Li1 Li 0.0000 0.0000 0.0000
Re1 Re 0.0000 0.0000 0.3194
Ni1 Ni 0.0000 0.0000 0.6633
```

ΔE_f ... 230 meV/atom
ΔE to the lowest computed polymorph ... 0.54 eV/f.u.



[4]
Li3ReNi | PBE-GGA | optimized geometry

CIF file:
```
data_Li3ReNi
_symmetry_space_group_name_H-M 'P m -3 m'
_symmetry_Int_Tables_number 221
_symmetry_space_group_name_Hall '-P 4 2 3'
_cell_length_a 4.7296
_cell_length_b 4.7296
_cell_length_c 4.7296
_cell_angle_alpha 90.00
_cell_angle_beta 90.00
_cell_angle_gamma 90.00
loop_
_atom_site_label
_atom_site_type_symbol
_atom_site_fract_x
_atom_site_fract_y
_atom_site_fract_z
Li1 Li 0.0000 0.0000 0.5000
Re1 Re 0.0000 0.0000 0.0000
Ni1 Ni 0.5000 0.5000 0.5000
```

ΔE_f ... 1729 meV/atom
ΔE to the lowest computed polymorph ... 2.59 eV/f.u.



[5]
LiRe2Ni | PBE-GGA | optimized geometry

CIF file:
```
data_LiRe2Ni
_symmetry_space_group_name_H-M 'R -3 m'
_symmetry_Int_Tables_number 166
_symmetry_space_group_name_Hall '-R 3 2"'
_cell_length_a 2.6816
_cell_length_b 2.6816
_cell_length_c 27.0466
_cell_angle_alpha 90.00
_cell_angle_beta 90.00
_cell_angle_gamma 120.00
loop_
_atom_site_label
_atom_site_type_symbol
_atom_site_fract_x
_atom_site_fract_y
_atom_site_fract_z
Li1 Li 0.0000 0.0000 0.0000
Re1 Re 0.0000 0.0000 0.2440
Ni1 Ni 0.0000 0.0000 0.5000
```

ΔE_f ... 269 meV/atom
ΔE to the lowest computed polymorph ... 0.58 eV/f.u.



[6]
LiReNi | PBE-GGA | optimized geometry

CIF file:
```
data_LiReNi
_symmetry_space_group_name_H-M 'P 63/m m c'
_symmetry_Int_Tables_number 194
_symmetry_space_group_name_Hall '-P 6c 2c'
_cell_length_a 4.5956
_cell_length_b 4.5956
_cell_length_c 8.9607
_cell_angle_alpha 90.00
_cell_angle_beta 90.00
_cell_angle_gamma 120.00
loop_
_atom_site_label
_atom_site_type_symbol
_atom_site_fract_x
_atom_site_fract_y
_atom_site_fract_z
Li1 Li 0.3333 0.6667 0.2500
Re1 Re 0.0000 0.0000 0.2500
Ni1 Ni 0.0000 0.0000 0.0000
```

ΔE_f ... 2344 meV/atom
ΔE to the lowest computed polymorph ... 6.88 eV/f.u.



[7]
LiReNi | PBE-GGA | optimized geometry

CIF file:
```
data_LiReNi
_symmetry_space_group_name_H-M 'P -6 m 2'
_symmetry_Int_Tables_number 187
_symmetry_space_group_name_Hall 'P -6 2'
_cell_length_a 4.1082
_cell_length_b 4.1082
_cell_length_c 2.5034
_cell_angle_alpha 90.00
_cell_angle_beta 90.00
_cell_angle_gamma 120.00
loop_
_atom_site_label
_atom_site_type_symbol
_atom_site_fract_x
_atom_site_fract_y
_atom_site_fract_z
Li1 Li 0.0000 0.0000 0.0000
Re1 Re 0.6667 0.3333 0.5000
Ni1 Ni 0.3333 0.6667 0.0000
```

ΔE_f ... 258 meV/atom
ΔE to the lowest computed polymorph ... 0.62 eV/f.u.



[8]
LiReNiRh | PBE-GGA | optimized geometry

CIF file:
```
data_LiReNiRh
_symmetry_space_group_name_H-M 'F -4 3 m'
_symmetry_Int_Tables_number 216
_symmetry_space_group_name_Hall 'F -4 2 3'
_cell_length_a 5.9388
_cell_length_b 5.9388
_cell_length_c 5.9388
_cell_angle_alpha 90.00
_cell_angle_beta 90.00
_cell_angle_gamma 90.00
loop_
_atom_site_label
_atom_site_type_symbol
_atom_site_fract_x
_atom_site_fract_y
_atom_site_fract_z
Li1 Li 0.0000 0.0000 0.0000
Re1 Re 0.0000 0.0000 0.5000
Ni1 Ni 0.2500 0.2500 0.2500
Rh1 Rh 0.2500 0.2500 0.7500
```

ΔE_f ... 102 meV/atom



[9]
LiReNiRu | PBE-GGA | optimized geometry

CIF file:
```
data_LiReNiRu
_symmetry_space_group_name_H-M 'F -4 3 m'
_symmetry_Int_Tables_number 216
_symmetry_space_group_name_Hall 'F -4 2 3'
_cell_length_a 5.9200
_cell_length_b 5.9200
_cell_length_c 5.9200
_cell_angle_alpha 90.00
_cell_angle_beta 90.00
_cell_angle_gamma 90.00
loop_
_atom_site_label
_atom_site_type_symbol
_atom_site_fract_x
_atom_site_fract_y
_atom_site_fract_z
Li1 Li 0.0000 0.0000 0.0000
Re1 Re 0.0000 0.0000 0.5000
Ni1 Ni 0.2500 0.2500 0.2500
Ru1 Ru 0.2500 0.2500 0.7500
```

ΔE_f ... 118 meV/atom



[10]
Li2ReNiSe | PBE-GGA | optimized geometry

CIF file:
```
data_Li2ReNiSe
_symmetry_space_group_name_H-M 'P 4/m m m'
_symmetry_Int_Tables_number 123
_symmetry_space_group_name_Hall '-P 4 2'
_cell_length_a 4.8421
_cell_length_b 4.8421
_cell_length_c 4.5833
_cell_angle_alpha 90.00
_cell_angle_beta 90.00
_cell_angle_gamma 90.00
loop_
_atom_site_label
_atom_site_type_symbol
_atom_site_fract_x
_atom_site_fract_y
_atom_site_fract_z
Li1 Li 0.0000 0.5000 0.0000
Re1 Re 0.0000 0.0000 0.0000
Ni1 Ni 0.5000 0.5000 0.5000
Se1 Se 0.0000 0.0000 0.5000
```

Raw formation energy ... 102.61 kJ/mol of atoms



[11]
LiTi2ReNi | PBE-GGA | optimized geometry

CIF file:
```
data_LiTi2ReNi
_symmetry_space_group_name_H-M 'P 4/m m m'
_symmetry_Int_Tables_number 123
_symmetry_space_group_name_Hall '-P 4 2'
_cell_length_a 4.5187
_cell_length_b 4.5187
_cell_length_c 3.8119
_cell_angle_alpha 90.00
_cell_angle_beta 90.00
_cell_angle_gamma 90.00
loop_
_atom_site_label
_atom_site_type_symbol
_atom_site_fract_x
_atom_site_fract_y
_atom_site_fract_z
Li1 Li 0.0000 0.0000 0.0000
Ti1 Ti 0.0000 0.5000 0.5000
Re1 Re 0.5000 0.5000 0.0000
Ni1 Ni 0.0000 0.0000 0.5000
```

ΔE_f ... 635 meV/atom



[12]
Li2TiReNi | PBE-GGA | optimized geometry

CIF file:
```
data_Li2TiReNi
_symmetry_space_group_name_H-M 'P 4/m m m'
_symmetry_Int_Tables_number 123
_symmetry_space_group_name_Hall '-P 4 2'
_cell_length_a 4.6625
_cell_length_b 4.6625
_cell_length_c 4.5008
_cell_angle_alpha 90.00
_cell_angle_beta 90.00
_cell_angle_gamma 90.00
loop_
_atom_site_label
_atom_site_type_symbol
_atom_site_fract_x
_atom_site_fract_y
_atom_site_fract_z
Li1 Li 0.0000 0.5000 0.0000
Ti1 Ti 0.0000 0.0000 0.5000
Re1 Re 0.0000 0.0000 0.0000
Ni1 Ni 0.5000 0.5000 0.5000
```

ΔE_f ... 1317 meV/atom



[13]
LiReNi2W | PBE-GGA | optimized geometry

CIF file:
```
data_LiReNi2W
_symmetry_space_group_name_H-M 'P 4/m m m'
_symmetry_Int_Tables_number 123
_symmetry_space_group_name_Hall '-P 4 2'
_cell_length_a 4.4021
_cell_length_b 4.4021
_cell_length_c 4.3632
_cell_angle_alpha 90.00
_cell_angle_beta 90.00
_cell_angle_gamma 90.00
loop_
_atom_site_label
_atom_site_type_symbol
_atom_site_fract_x
_atom_site_fract_y
_atom_site_fract_z
Li1 Li 0.0000 0.0000 0.0000
Re1 Re 0.5000 0.5000 0.0000
Ni1 Ni 0.0000 0.5000 0.5000
W1 W 0.0000 0.0000 0.5000
```

ΔE_f ... 2019 meV/atom



[14]
Li2ReNiW | PBE-GGA | optimized geometry

CIF file:
```
data_Li2ReNiW
_symmetry_space_group_name_H-M 'P 4/m m m'
_symmetry_Int_Tables_number 123
_symmetry_space_group_name_Hall '-P 4 2'
_cell_length_a 3.9032
_cell_length_b 3.9032
_cell_length_c 4.7232
_cell_angle_alpha 90.00
_cell_angle_beta 90.00
_cell_angle_gamma 90.00
loop_
_atom_site_label
_atom_site_type_symbol
_atom_site_fract_x
_atom_site_fract_y
_atom_site_fract_z
Li1 Li 0.0000 0.5000 0.0000
Re1 Re 0.0000 0.0000 0.5000
Ni1 Ni 0.5000 0.5000 0.0000
W1 W 0.5000 0.5000 0.5000
```

ΔE_f ... 1016 meV/atom



It is found that the Fermi-level density of states values, taken in the order of the records, are 4.45, 2.81, 3.67, 6.42, 5.06, 4.38, 2.79, 4.05, 4.86, 7.09, 3.56, 4.59, 5.36, 3.15 states/eV/f.u..